[1]
Density functional theory data (PBE) for a relaxed Tm2Hf3Ge4 crystal.

Cell and atoms, written as CIF:
```
data_Tm2Hf3Ge4
_symmetry_space_group_name_H-M 'P 1 21/c 1'
_symmetry_Int_Tables_number 14
_symmetry_space_group_name_Hall '-P 2ybc'
_cell_length_a 7.3697
_cell_length_b 7.3498
_cell_length_c 7.1659
_cell_angle_alpha 90.00
_cell_angle_beta 110.02
_cell_angle_gamma 90.00
loop_
_atom_site_label
_atom_site_fract_x
_atom_site_fract_y
_atom_site_fract_z
Tm1 0.1874 0.1721 0.0618
Hf1 0.2514 0.6747 0.2469
Hf2 0.5000 0.0000 0.5000
Ge1 0.0835 0.5341 0.8504
Ge2 0.4859 0.1346 0.8617
```

***

[2]
Density functional theory data (PBE) for a relaxed Hf2UGe crystal.

Summary:
**Excess energy over the best structure of this formula in the dataset**: 0 meV/atom

Cell and atoms, written as CIF:
```
data_Hf2UGe
_symmetry_space_group_name_H-M 'P 4/m m m'
_symmetry_Int_Tables_number 123
_symmetry_space_group_name_Hall '-P 4 2'
_cell_length_a 4.4949
_cell_length_b 4.4949
_cell_length_c 4.0110
_cell_angle_alpha 90.00
_cell_angle_beta 90.00
_cell_angle_gamma 90.00
loop_
_atom_site_label
_atom_site_fract_x
_atom_site_fract_y
_atom_site_fract_z
Hf1 0.0000 0.5000 0.0000
U1 0.0000 0.0000 0.5000
Ge1 0.5000 0.5000 0.5000
```

***

[3]
Density functional theory data (PBE) for a relaxed Hf2UGe crystal.

Summary:
**Excess energy over the best structure of this formula in the dataset**: 125 meV/atom

Cell and atoms, written as CIF:
```
data_Hf2UGe
_symmetry_space_group_name_H-M 'R -3 m'
_symmetry_Int_Tables_number 166
_symmetry_space_group_name_Hall '-R 3 2"'
_cell_length_a 3.1682
_cell_length_b 3.1682
_cell_length_c 29.2942
_cell_angle_alpha 90.00
_cell_angle_beta 90.00
_cell_angle_gamma 120.00
loop_
_atom_site_label
_atom_site_fract_x
_atom_site_fract_y
_atom_site_fract_z
Hf1 0.0000 0.0000 0.2431
U1 0.0000 0.0000 0.0000
Ge1 0.0000 0.0000 0.5000
```

***

[4]
Density functional theory data (PBE) for a relaxed Hf3VGe crystal.

Summary:
**Excess energy over the best structure of this formula in the dataset**: 0 meV/atom

Cell and atoms, written as CIF:
```
data_Hf3VGe
_symmetry_space_group_name_H-M 'P m -3 m'
_symmetry_Int_Tables_number 221
_symmetry_space_group_name_Hall '-P 4 2 3'
_cell_length_a 4.9446
_cell_length_b 4.9446
_cell_length_c 4.9446
_cell_angle_alpha 90.00
_cell_angle_beta 90.00
_cell_angle_gamma 90.00
loop_
_atom_site_label
_atom_site_fract_x
_atom_site_fract_y
_atom_site_fract_z
Hf1 0.0000 0.0000 0.5000
V1 0.5000 0.5000 0.5000
Ge1 0.0000 0.0000 0.0000
```

***

no.,ΔH_f (0 K) (eV/atom)
1,-0.809
2,-0.092
3,0.033
4,0.681